Crystalline CaFe4As3 at its relaxed geometry. Source: Alexandria, functional GGA-PBEsol.

Magnetization: 4.8 μB per formula unit
ΔE_f: -386 meV per atom

Lattice parameters (Å, degrees): 3.630 11.281 11.563 90.00 90.00 90.00
Each line ends with the local moment (μB).
Sites, in units of the cell vectors:
As1 0.750 0.925 0.129  -0.04
As2 0.250 0.425 0.371  -0.04
As3 0.250 0.075 0.871  -0.04
As4 0.750 0.575 0.629  -0.04
As5 0.750 0.740 0.392  -0.05
As6 0.250 0.240 0.108  -0.05
As7 0.250 0.260 0.608  -0.05
As8 0.750 0.760 0.892  -0.05
As9 0.250 0.628 0.102  -0.05
As10 0.750 0.128 0.398  -0.05
As11 0.750 0.372 0.898  -0.05
As12 0.250 0.872 0.602  -0.05
Ca1 0.250 0.933 0.336  -0.01
Ca2 0.750 0.433 0.164  -0.01
Ca3 0.750 0.067 0.664  -0.01
Ca4 0.250 0.567 0.836  -0.01
Fe1 0.750 0.728 0.190  1.36
Fe2 0.250 0.228 0.310  1.36
Fe3 0.250 0.272 0.810  1.36
Fe4 0.750 0.772 0.690  1.36
Fe5 0.750 0.128 0.193  1.73
Fe6 0.250 0.628 0.307  1.73
Fe7 0.250 0.872 0.807  1.73
Fe8 0.750 0.372 0.693  1.73
Fe9 0.250 0.040 0.068  0.62
Fe10 0.750 0.540 0.432  0.62
Fe11 0.750 0.960 0.932  0.62
Fe12 0.250 0.460 0.568  0.62
Fe13 0.250 0.816 0.020  1.33
Fe14 0.750 0.316 0.480  1.33
Fe15 0.750 0.184 0.980  1.33
Fe16 0.250 0.684 0.520  1.33

***

Crystalline Ca2Fe2As at its relaxed geometry. Source: Alexandria, functional GGA-PBEsol.

Magnetization: 4.7 μB per formula unit
ΔE_f: 284 meV per atom

Lattice parameters (Å, degrees): 5.216 5.216 5.216 82.16 64.42 115.58
Each line ends with the local moment (μB).
Sites, in units of the cell vectors:
As1 0.000 0.000 0.000  0.06
Ca1 0.500 0.250 0.250  -0.04
Ca2 0.500 0.750 0.750  -0.04
Fe1 0.000 0.344 0.656  2.36
Fe2 0.000 0.656 0.344  2.36

***

Crystalline CaFeAs at its relaxed geometry. Source: Alexandria, functional GGA-PBEsol.

Magnetization: 3.0 μB per formula unit
ΔE_f: -136 meV per atom

Lattice parameters (Å, degrees): 4.445 4.445 4.445 60.00 60.00 60.00
Each line ends with the local moment (μB).
Sites, in units of the cell vectors:
As1 0.250 0.250 0.250  0.04
Ca1 0.000 0.000 0.000  -0.02
Fe1 0.500 0.500 0.500  2.89

***

Crystalline CaFe2AsOs at its relaxed geometry. Source: Alexandria, functional GGA-PBEsol.

Magnetization: 6.0 μB per formula unit
ΔE_f: 1265 meV per atom

Lattice parameters (Å, degrees): 4.312 4.312 5.069 90.00 90.00 90.00
Each line ends with the local moment (μB).
Sites, in units of the cell vectors:
As1 0.000 0.000 0.000  -0.04
Ca1 0.000 0.000 0.500  -0.03
Os1 0.500 0.500 0.500  1.34
Fe1 0.000 0.500 0.000  2.38
Fe2 0.500 0.000 0.000  2.38

***

Crystalline Ca3Ge2As4 at its relaxed geometry. Source: Alexandria, functional GGA-PBEsol.

Magnetization: 0.0 μB per formula unit
ΔE_f: -787 meV per atom

Lattice parameters (Å, degrees): 7.217 7.238 17.788 90.00 90.00 111.67
Sites, in units of the cell vectors:
Ca1 0.012 0.255 0.942
Ca2 0.488 0.745 0.442
Ca3 0.988 0.745 0.058
Ca4 0.512 0.255 0.558
Ca5 0.499 0.737 0.937
Ca6 0.001 0.263 0.437
Ca7 0.501 0.263 0.063
Ca8 0.999 0.737 0.563
Ca9 0.513 0.217 0.817
Ca10 0.987 0.783 0.317
Ca11 0.487 0.783 0.183
Ca12 0.013 0.217 0.683
Ge1 0.580 0.681 0.741
Ge2 0.920 0.319 0.241
Ge3 0.420 0.319 0.259
Ge4 0.080 0.681 0.759
Ge5 0.531 0.209 0.374
Ge6 0.969 0.791 0.874
Ge7 0.469 0.791 0.626
Ge8 0.031 0.209 0.126
As1 0.267 0.481 0.806
As2 0.233 0.519 0.306
As3 0.733 0.519 0.194
As4 0.767 0.481 0.694
As5 0.278 0.975 0.686
As6 0.222 0.025 0.186
As7 0.722 0.025 0.314
As8 0.778 0.975 0.814
As9 0.259 0.999 0.942
As10 0.241 0.001 0.442
As11 0.741 0.001 0.058
As12 0.759 0.999 0.558
As13 0.751 0.491 0.934
As14 0.749 0.509 0.434
As15 0.249 0.509 0.066
As16 0.251 0.491 0.566

***

Crystalline CaGe2As2 at its relaxed geometry. Source: Alexandria, functional GGA-PBEsol.

Magnetization: 0.0 μB per formula unit
ΔE_f: -254 meV per atom

Lattice parameters (Å, degrees): 3.955 3.955 7.423 105.45 105.45 90.00
Sites, in units of the cell vectors:
As1 0.409 0.409 0.818
As2 0.591 0.591 0.182
Ca1 0.000 0.000 0.000
Ge1 0.250 0.750 0.500
Ge2 0.750 0.250 0.500

***

Crystalline CaAs3H at its relaxed geometry. Source: Alexandria, functional GGA-PBEsol.

Total energy: -4.262 eV/atom
Magnetization: 0.0 μB per formula unit

Lattice parameters (Å, degrees): 4.371 4.371 4.371 90.00 90.00 90.00
Sites, in units of the cell vectors:
H1 0.000 0.000 0.000
As1 0.000 0.500 0.000
As2 0.000 0.000 0.500
As3 0.500 0.000 0.000
Ca1 0.500 0.500 0.500

***

Crystalline Ca2AsH2 at its relaxed geometry. Source: Alexandria, functional GGA-PBEsol.

Total energy: -3.955 eV/atom
Magnetization: 0.0 μB per formula unit

Lattice parameters (Å, degrees): 3.587 3.587 6.839 105.21 105.21 90.00
Sites, in units of the cell vectors:
H1 0.250 0.750 0.500
H2 0.750 0.250 0.500
As1 0.000 0.000 0.000
Ca1 0.354 0.354 0.708
Ca2 0.646 0.646 0.292

***

Crystalline CaNiAsHO5 at its relaxed geometry. Source: Alexandria, functional GGA-PBEsol.

Total energy: -6.376 eV/atom
Magnetization: 2.0 μB per formula unit

Lattice parameters (Å, degrees): 5.896 7.361 8.874 90.00 90.00 90.00
Each line ends with the local moment (μB).
Sites, in units of the cell vectors:
Ca1 0.474 0.371 0.174  0.00
Ca2 0.974 0.129 0.826  0.00
Ca3 0.526 0.871 0.326  0.00
Ca4 0.026 0.629 0.674  0.00
Ni1 0.256 0.243 0.503  1.55
Ni2 0.756 0.257 0.497  1.55
Ni3 0.744 0.743 0.997  1.55
Ni4 0.244 0.757 0.003  1.55
As1 0.016 0.118 0.182  0.02
As2 0.516 0.382 0.818  0.02
As3 0.984 0.618 0.318  0.02
As4 0.484 0.882 0.682  0.02
H1 0.013 0.484 0.986  0.00
H2 0.513 0.016 0.014  0.00
H3 0.987 0.984 0.514  0.00
H4 0.487 0.516 0.486  0.00
O1 0.989 0.935 0.060  0.11
O2 0.489 0.565 0.940  0.11
O3 0.011 0.435 0.440  0.11
O4 0.511 0.065 0.560  0.11
O5 0.091 0.290 0.061  0.01
O6 0.591 0.210 0.939  0.01
O7 0.909 0.790 0.439  0.01
O8 0.409 0.710 0.561  0.01
O9 0.763 0.149 0.276  0.06
O10 0.263 0.351 0.724  0.06
O11 0.237 0.649 0.224  0.06
O12 0.737 0.851 0.776  0.06
O13 0.249 0.106 0.299  0.06
O14 0.749 0.394 0.701  0.06
O15 0.751 0.606 0.201  0.06
O16 0.251 0.894 0.799  0.06
O17 0.499 0.400 0.428  0.12
O18 0.999 0.100 0.572  0.12
O19 0.501 0.900 0.072  0.12
O20 0.001 0.600 0.928  0.12

***

Crystalline Ca2ZnAs2H4O10 at its relaxed geometry. Source: Alexandria, functional GGA-PBEsol.

Total energy: -6.021 eV/atom
Magnetization: 0.0 μB per formula unit

Lattice parameters (Å, degrees): 5.593 5.887 6.972 108.32 97.34 109.49
Sites, in units of the cell vectors:
Ca1 0.151 0.288 0.766
Ca2 0.849 0.712 0.234
Zn1 0.500 0.000 0.000
As1 0.175 0.338 0.247
As2 0.825 0.662 0.753
H1 0.419 0.838 0.307
H2 0.581 0.162 0.693
H3 0.657 0.129 0.401
H4 0.343 0.871 0.599
O1 0.904 0.237 0.042
O2 0.096 0.763 0.958
O3 0.423 0.044 0.726
O4 0.577 0.956 0.274
O5 0.218 0.655 0.383
O6 0.782 0.345 0.617
O7 0.144 0.161 0.399
O8 0.856 0.839 0.601
O9 0.432 0.350 0.132
O10 0.568 0.650 0.868

***

Crystalline CaHf3As at its relaxed geometry. Source: Alexandria, functional GGA-PBEsol.

Magnetization: 0.0 μB per formula unit
ΔE_f: 129 meV per atom

Lattice parameters (Å, degrees): 5.023 5.023 5.023 90.00 90.00 90.00
Sites, in units of the cell vectors:
As1 0.000 0.000 0.000
Hf1 0.000 0.500 0.000
Hf2 0.000 0.000 0.500
Hf3 0.500 0.000 0.000
Ca1 0.500 0.500 0.500

***

Crystalline CaHfAs2Se at its relaxed geometry. Source: Alexandria, functional GGA-PBEsol.

Magnetization: 0.0 μB per formula unit
Raw formation energy: 688 meV per atom

Lattice parameters (Å, degrees): 5.025 5.025 5.094 90.00 90.00 90.00
Sites, in units of the cell vectors:
As1 0.000 0.500 0.000
As2 0.500 0.000 0.000
Hf1 0.500 0.500 0.500
Ca1 0.000 0.000 0.000
Se1 0.000 0.000 0.500

***

Crystalline CaHfZnAs2 at its relaxed geometry. Source: Alexandria, functional GGA-PBEsol.

Magnetization: 0.0 μB per formula unit
ΔE_f: 874 meV per atom

Lattice parameters (Å, degrees): 4.755 5.058 5.058 90.00 90.00 90.00
Sites, in units of the cell vectors:
As1 0.000 0.000 0.500
As2 0.000 0.500 0.000
Ca1 0.000 0.000 0.000
Hf1 0.500 0.500 0.500
Zn1 0.500 0.000 0.000

***

Crystalline Ca2HgAs at its relaxed geometry. Source: Alexandria, functional GGA-PBEsol.

Magnetization: 0.0 μB per formula unit
ΔE_f: -798 meV per atom
E above lowest polymorph: 87 meV/atom

Lattice parameters (Å, degrees): 4.385 4.404 7.149 107.69 90.00 119.86
Sites, in units of the cell vectors:
As1 0.500 0.000 0.000
Ca1 0.764 0.527 0.789
Ca2 0.236 0.473 0.211
Hg1 0.000 0.000 0.500

***

Crystalline Ca2HgAs at its relaxed geometry. Source: Alexandria, functional GGA-PBEsol.

Magnetization: 0.0 μB per formula unit
ΔE_f: -884 meV per atom
E above lowest polymorph: 0 meV/atom

Lattice parameters (Å, degrees): 4.227 4.342 5.930 90.00 110.88 90.00
Sites, in units of the cell vectors:
As1 0.712 0.500 0.425
Ca1 0.988 0.500 0.975
Ca2 0.261 0.000 0.522
Hg1 0.539 0.000 0.078

***

Crystalline CaHg3As at its relaxed geometry. Source: Alexandria, functional GGA-PBEsol.

Magnetization: 0.0 μB per formula unit
ΔE_f: 57 meV per atom

Lattice parameters (Å, degrees): 5.213 5.213 5.213 90.00 90.00 90.00
Sites, in units of the cell vectors:
As1 0.000 0.000 0.000
Ca1 0.500 0.500 0.500
Hg1 0.000 0.500 0.000
Hg2 0.000 0.000 0.500
Hg3 0.500 0.000 0.000

***

Crystalline Ca2HgAs at its relaxed geometry. Source: Alexandria, functional GGA-PBEsol.

Magnetization: 0.0 μB per formula unit
ΔE_f: -846 meV per atom
E above lowest polymorph: 38 meV/atom

Lattice parameters (Å, degrees): 3.967 4.935 4.934 90.00 90.00 90.00
Sites, in units of the cell vectors:
As1 0.500 0.875 0.500
Ca1 0.000 0.875 0.000
Ca2 0.000 0.375 0.500
Hg1 0.500 0.375 0.000

***

Crystalline CaHg2As at its relaxed geometry. Source: Alexandria, functional GGA-PBEsol.

Magnetization: 0.0 μB per formula unit
ΔE_f: -478 meV per atom

Lattice parameters (Å, degrees): 4.217 4.217 5.018 90.00 90.00 90.00
Sites, in units of the cell vectors:
As1 0.500 0.500 0.500
Ca1 0.000 0.000 0.500
Hg1 0.000 0.500 0.000
Hg2 0.500 0.000 0.000

***

Crystalline Ca2HgAs at its relaxed geometry. Source: Alexandria, functional GGA-PBEsol.

Magnetization: 0.0 μB per formula unit
ΔE_f: -646 meV per atom
E above lowest polymorph: 239 meV/atom

Lattice parameters (Å, degrees): 4.313 4.313 5.958 90.00 90.00 90.00
Sites, in units of the cell vectors:
As1 0.500 0.500 0.875
Ca1 0.000 0.000 0.875
Ca2 0.500 0.500 0.375
Hg1 0.000 0.000 0.374

***

Crystalline CaHgAsSe2 at its relaxed geometry. Source: Alexandria, functional GGA-PBEsol.

Magnetization: 0.3 μB per formula unit
Raw formation energy: -8 meV per atom

Lattice parameters (Å, degrees): 5.005 5.270 5.270 90.00 90.00 90.00
Each line ends with the local moment (μB).
Sites, in units of the cell vectors:
As1 0.500 0.000 0.000  0.11
Ca1 0.500 0.500 0.500  0.00
Hg1 0.000 0.000 0.000  0.01
Se1 0.000 0.000 0.500  0.03
Se2 0.000 0.500 0.000  0.03